Here is a relaxed structure of AlSi3AgO8 from Alexandria. Energies are from PBE.

Summary:
Energy relative to the lowest polymorph listed for this composition (meV/atom): 574.2
Symmetry: P-1
Final energy (eV/atom): -6.760

The structure in extended XYZ format:
```
26
Lattice="7.2984 0.0000 0.0000 0.8991 7.6472 0.0000 2.1179 3.2483 6.7576" Properties=species:S:1:pos:R:3 pbc="T T T"
Al 1.1291 3.6870 1.1665
Al 9.1862 7.2084 5.5911
Si 1.4879 6.5918 0.0880
Si 3.2536 6.9100 2.6228
Si 4.3349 1.5101 2.0806
Si 5.9805 9.3854 4.6771
Si 7.0617 3.9855 4.1348
Si 8.8274 4.3036 6.6697
Ag 4.2587 4.7679 2.7420
Ag 6.0567 6.1276 4.0156
O 0.6202 5.0896 0.0051
O 2.7013 7.2259 4.0973
O 1.9925 6.4250 1.6483
O 2.8702 3.6444 1.4005
O 4.7235 9.8519 5.6889
O 3.8700 8.2006 1.8609
O 3.7866 2.6510 0.8192
O 4.5285 2.7090 3.2619
O 5.7869 8.1865 3.4958
O 6.5287 8.2445 5.9385
O 6.4453 2.6949 4.8968
O 5.5918 1.0436 1.0687
O 7.4451 7.2511 5.3572
O 8.3229 4.4704 5.1093
O 7.6140 3.6695 2.6603
O 9.6952 5.8059 6.7525
```